VASP calculation (PBE) on a relaxed structure of GdLuSnIr.

The structure belongs to space group F-43m (No. 216); the cell edges are 7.1567, 7.1567 and 7.1567 Å and the angles 90.00°, 90.00° and 90.00°. Symmetry generates all atoms from Gd at (0.0000, 0.0000, 0.0000), Lu at (0.0000, 0.0000, 0.5000), Sn at (0.2500, 0.2500, 0.7500) and Ir at (0.2500, 0.2500, 0.2500).

As for the calculated formation energy: -0.605 eV/atom. The raw total energy comes out at -8.472 eV/atom. The value obtained for the calculated volume is 22.91 Å³/atom.

=====

VASP calculation (PBE) on a relaxed structure of LaNd8Ho3.

The structure belongs to space group P1 (No. 1); the cell edges are 6.3120, 6.3193 and 10.9501 Å and the angles 106.58°, 90.15° and 99.58°. Symmetry generates all atoms from La at (0.0000, 0.0000, 0.0000), Nd at (0.0017, 0.0030, 0.3377), Nd at (0.2498, 0.5045, 0.5880), Nd at (0.2516, 0.5038, 0.2516), Nd at (0.2534, 0.5014, 0.9176), Nd at (0.5012, 0.0074, 0.5065), Nd at (0.5027, 0.0058, 0.8352), Nd at (0.5045, 0.0042, 0.1694), Nd at (0.7514, 0.5062, 0.4208), Ho at (0.7517, 0.5020, 0.0845), Ho at (0.7535, 0.5032, 0.7528) and Ho at (0.9994, 0.0035, 0.6695).

As for the calculated formation energy: 0.016 eV/atom. The raw total energy comes out at -4.717 eV/atom. The value obtained for the calculated volume is 34.35 Å³/atom.

=====

VASP calculation (PBE) on a relaxed structure of ThSnRhAu.

The structure belongs to space group F-43m (No. 216); the cell edges are 7.0497, 7.0497 and 7.0497 Å and the angles 90.00°, 90.00° and 90.00°. Symmetry generates all atoms from Th at (0.0000, 0.0000, 0.0000), Sn at (0.0000, 0.0000, 0.5000), Rh at (0.2500, 0.2500, 0.7500) and Au at (0.2500, 0.2500, 0.2500).

As for the calculated formation energy: -0.598 eV/atom. The raw total energy comes out at -6.111 eV/atom. The value obtained for the calculated volume is 21.90 Å³/atom.

=====

VASP calculation (PBE) on a relaxed structure of LaIn2Sb.

The structure belongs to space group Cmmm (No. 65); the cell edges are 4.8115, 4.8229 and 9.8181 Å and the angles 90.00°, 90.00° and 90.00°. Symmetry generates all atoms from La at (0.0000, 0.0000, 0.0000), In at (0.0000, 0.5000, 0.2532) and Sb at (0.0000, 0.0000, 0.5000).

The uncorrected formation energy comes out at -100.4 meV/atom. The raw total energy comes out at -3.732 eV/atom. The calculation puts the distance to the lowest polymorph of the same formula at 481 meV per atom. The value obtained for the calculated volume is 28.48 Å³/atom.

=====

VASP calculation (PBE) on a relaxed structure of YZr2Co.

The structure belongs to space group Pnma (No. 62); the cell edges are 13.0660, 9.1697 and 5.8464 Å and the angles 90.00°, 90.00° and 90.00°. Symmetry generates all atoms from Y at (0.1084, 0.2500, 0.2297), Y at (0.1432, 0.7500, 0.9429), Zr at (0.0358, 0.0609, 0.7428), Zr at (0.2137, 0.5679, 0.4162), Co at (0.0669, 0.7500, 0.4810) and Co at (0.1750, 0.2500, 0.6943).

As for the calculated formation energy: -0.150 eV/atom. The raw total energy comes out at -7.816 eV/atom. The calculation puts the distance to the lowest polymorph of the same formula at 0 meV per atom. The value obtained for the calculated volume is 21.89 Å³/atom.

=====

VASP calculation (PBE) on a relaxed structure of SrMn3Tl.

The structure belongs to space group Pm-3m (No. 221); the cell edges are 5.2036, 5.2036 and 5.2036 Å and the angles 90.00°, 90.00° and 90.00°. Symmetry generates all atoms from Sr at (0.0000, 0.0000, 0.0000), Mn at (0.0000, 0.5000, 0.5000) and Tl at (0.5000, 0.5000, 0.5000).

As for the calculated formation energy: 0.895 eV/atom. The raw total energy comes out at -5.417 eV/atom. The calculation puts the distance to the lowest polymorph of the same formula at 0 meV per atom. The value obtained for the calculated volume is 28.18 Å³/atom.

=====

VASP calculation (PBE) on a relaxed structure of InC6.

The structure belongs to space group Pm-3m (No. 221); the cell edges are 5.7469, 5.7469 and 5.7469 Å and the angles 90.00°, 90.00° and 90.00°. Symmetry generates all atoms from In at (0.0000, 0.0000, 0.0000) and C at (0.0000, 0.0000, 0.3902).

As for the calculated formation energy: 2.381 eV/atom. The raw total energy comes out at -5.916 eV/atom. The value obtained for the calculated volume is 27.12 Å³/atom.

=====

VASP calculation (PBE) on a relaxed structure of FeP2SBr.

The structure belongs to space group P4/mmm (No. 123); the cell edges are 4.8456, 4.8456 and 4.6915 Å and the angles 90.00°, 90.00° and 90.00°. Symmetry generates all atoms from Fe at (0.0000, 0.0000, 0.0000), P at (0.0000, 0.5000, 0.5000), S at (0.5000, 0.5000, 0.0000) and Br at (0.5000, 0.5000, 0.5000).

The uncorrected formation energy comes out at 1693.1 meV/atom. The raw total energy comes out at -3.323 eV/atom. The calculation puts the distance to the lowest polymorph of the same formula at 1169 meV per atom. The value obtained for the calculated volume is 22.03 Å³/atom.

=====

VASP calculation (PBE) on a relaxed structure of Tb2CeMg6.

The structure belongs to space group P6/mmm (No. 191); the cell edges are 9.1165, 9.1165 and 3.2592 Å and the angles 90.00°, 90.00° and 120.00°. Symmetry generates all atoms from Tb at (0.3333, 0.6667, 0.0000), Ce at (0.0000, 0.0000, 0.0000) and Mg at (0.0000, 0.3349, 0.5000).

As for the calculated formation energy: -0.049 eV/atom. The raw total energy comes out at -2.800 eV/atom. The value obtained for the calculated volume is 26.07 Å³/atom.

=====

VASP calculation (PBE) on a relaxed structure of In3Hg3Sb.

The structure belongs to space group C2/m (No. 12); the cell edges are 9.0059, 9.4219 and 9.3640 Å and the angles 90.00°, 90.09° and 90.00°. Symmetry generates all atoms from In at (0.0000, 0.1994, 0.0000), In at (0.0000, 0.2143, 0.5000), In at (0.0370, 0.5000, 0.6919), Hg at (0.0614, 0.0000, 0.2622), Hg at (0.2463, 0.2047, 0.7301) and Sb at (0.1701, 0.5000, 0.9995).

The uncorrected formation energy comes out at 39.6 meV/atom. The raw total energy comes out at -1.852 eV/atom. The value obtained for the calculated volume is 28.38 Å³/atom.

=====

VASP calculation (PBE) on a relaxed structure of InCuIr2.

The structure belongs to space group Cmmm (No. 65); the cell edges are 5.6978, 7.3712 and 2.9427 Å and the angles 90.00°, 90.00° and 90.00°. Symmetry generates all atoms from In at (0.0000, 0.0000, 0.0000), Cu at (0.0000, 0.5000, 0.0000) and Ir at (0.2500, 0.2500, 0.5000).

As for the calculated formation energy: 0.183 eV/atom. The raw total energy comes out at -5.956 eV/atom. The value obtained for the calculated volume is 15.45 Å³/atom.

=====

VASP calculation (PBE) on a relaxed structure of LiPaCoN3.

The structure belongs to space group P2_1/m (No. 11); the cell edges are 5.5663, 3.3385 and 7.4094 Å and the angles 90.00°, 111.26° and 90.00°. Symmetry generates all atoms from Li at (0.0744, 0.2500, 0.4064), Pa at (0.4959, 0.7500, 0.7363), Co at (0.0330, 0.2500, 0.8747), N at (0.2135, 0.7500, 0.9991), N at (0.2158, 0.2500, 0.6926) and N at (0.3030, 0.7500, 0.3717).

The uncorrected formation energy comes out at -696.3 meV/atom. The raw total energy comes out at -7.945 eV/atom. The value obtained for the calculated volume is 10.69 Å³/atom.